No. 1
This record from the Alexandria database describes a PBEsol-optimized structure of BaHfTc2. The functional is SCAN.

Results
As for the crystal system: cubic. The raw total energy is -676.05 eV per cell. The value obtained for the formation enthalpy at 0 K is 832 meV per atom. As for the magnetic moment: 0.00 μB/f.u.

```
data_BaHfTc2
_chemical_formula_sum 'Ba4 Hf4 Tc8'
_cell_length_a 6.779
_cell_length_b 6.779
_cell_length_c 6.779
_cell_angle_alpha 90.00
_cell_angle_beta 90.00
_cell_angle_gamma 90.00
_space_group_name_H-M_alt 'F m -3 m'
_space_group_IT_number 225
_space_group_name_Hall '-F 4 2 3'
loop_
_atom_site_label
_atom_site_fract_x
_atom_site_fract_y
_atom_site_fract_z
_atom_site_occupancy
Ba1 0.000 0.000 0.000 1
Hf1 0.000 0.000 0.500 1
Tc1 0.250 0.250 0.250 1
```



No. 2
This record from the Alexandria database describes a PBEsol-optimized structure of Y2Rh. The functional is SCAN.

Results
As for the crystal system: hexagonal. The raw total energy is -274.54 eV per cell. The value obtained for the formation enthalpy at 0 K is -686 meV per atom. As for the magnetic moment: 0.00 μB/f.u.

```
data_Y2Rh
_chemical_formula_sum 'Y6 Rh3'
_cell_length_a 7.2287
_cell_length_b 7.2287
_cell_length_c 4.6503
_cell_angle_alpha 90.00
_cell_angle_beta 90.00
_cell_angle_gamma 120.00
_space_group_name_H-M_alt 'P -6 2 m'
_space_group_IT_number 189
_space_group_name_Hall 'P -6 -2'
loop_
_atom_site_label
_atom_site_fract_x
_atom_site_fract_y
_atom_site_fract_z
_atom_site_occupancy
Y1 0.0000 0.2644 0.0000 1
Y2 0.0000 0.5922 0.5000 1
Rh1 0.0000 0.0000 0.5000 1
Rh2 0.3333 0.6667 0.0000 1
```



No. 3
This record from the Alexandria database describes a PBEsol-optimized structure of ZrZn2Fe. The functional is SCAN.

Results
As for the crystal system: tetragonal. The raw total energy is -152.53 eV per cell. The value obtained for the formation enthalpy at 0 K is -101 meV per atom. As for the magnetic moment: 1.63 μB/f.u.

```
data_ZrZn2Fe
_chemical_formula_sum 'Zr2 Zn4 Fe2'
_cell_length_a 4.107
_cell_length_b 4.107
_cell_length_c 6.984
_cell_angle_alpha 90.00
_cell_angle_beta 90.00
_cell_angle_gamma 90.00
_space_group_name_H-M_alt 'I -4 m 2'
_space_group_IT_number 119
_space_group_name_Hall 'I -4 -2'
loop_
_atom_site_label
_atom_site_fract_x
_atom_site_fract_y
_atom_site_fract_z
_atom_site_occupancy
Zr1 0.000 0.000 0.000 1
Zn1 0.000 0.000 0.500 1
Zn2 0.000 0.500 0.250 1
Fe1 0.000 0.500 0.750 1
```